# Bi3IF, optimized geometry, DFT GGA-PBE
data_Bi3IF
_chemical_formula_sum 'Bi3 I1 F1'
_space_group_name_H-M_alt 'P 1'
_space_group_IT_number 1
_cell_length_a 5.230
_cell_length_b 5.230
_cell_length_c 5.230
_cell_angle_alpha 90.00
_cell_angle_beta 90.00
_cell_angle_gamma 90.00
loop_
_space_group_symop_operation_xyz
'x,y,z'
loop_
_atom_site_label
_atom_site_type_symbol
_atom_site_fract_x
_atom_site_fract_y
_atom_site_fract_z
Bi1 Bi 0.000 0.500 0.000
Bi2 Bi 0.500 0.000 0.000
I1 I 0.500 0.500 0.500
Bi3 Bi 0.000 0.000 0.500
F1 F 0.000 0.000 0.000
# formation energy without anion corrections: -0.082 eV per atom
# space group: Pm-3m (221)
# size of the total moment: 0.0 μB per formula unit
# energy above the most stable polymorph in this dataset: 0.00 eV per formula unit
# Fermi-level density of states: 4.2 states/eV/f.u.
# E: -3.095 eV/atom

=====

# Ni2SbW, optimized geometry, DFT GGA-PBE
data_Ni2SbW
_chemical_formula_sum 'Ni2 Sb1 W1'
_space_group_name_H-M_alt 'P 1'
_space_group_IT_number 1
_cell_length_a 3.140
_cell_length_b 3.140
_cell_length_c 5.966
_cell_angle_alpha 90.00
_cell_angle_beta 90.00
_cell_angle_gamma 90.00
loop_
_space_group_symop_operation_xyz
'x,y,z'
loop_
_atom_site_label
_atom_site_type_symbol
_atom_site_fract_x
_atom_site_fract_y
_atom_site_fract_z
Ni1 Ni 0.000 0.000 0.016
W1 W 0.500 0.500 0.788
Sb1 Sb 0.000 0.000 0.468
Ni2 Ni 0.500 0.500 0.228
# formation energy without anion corrections: 0.266 eV per atom
# space group: P4mm (99)
# size of the total moment: 0.0 μB per formula unit
# Fermi-level density of states: 4.0 states/eV/f.u.
# E: -6.894 eV/atom

=====

# Na5Tl3Hg3, optimized geometry, DFT GGA-PBE
data_Na5Tl3Hg3
_chemical_formula_sum 'Na5 Tl3 Hg3'
_space_group_name_H-M_alt 'P 1'
_space_group_IT_number 1
_cell_length_a 3.511
_cell_length_b 10.545
_cell_length_c 10.544
_cell_angle_alpha 120.00
_cell_angle_beta 90.00
_cell_angle_gamma 90.00
loop_
_space_group_symop_operation_xyz
'x,y,z'
loop_
_atom_site_label
_atom_site_type_symbol
_atom_site_fract_x
_atom_site_fract_y
_atom_site_fract_z
Hg1 Hg 0.500 0.000 0.835
Tl1 Tl 0.000 0.595 0.000
Na1 Na 0.500 0.000 0.334
Hg2 Hg 0.500 0.165 0.165
Tl2 Tl 0.000 0.405 0.405
Hg3 Hg 0.500 0.835 0.000
Na2 Na 0.500 0.334 0.000
Tl3 Tl 0.000 0.000 0.595
Na3 Na 0.500 0.333 0.667
Na4 Na 0.500 0.667 0.333
Na5 Na 0.500 0.666 0.666
# space group: P-62m (189)
# DFT formation energy: -44 meV/atom
# size of the total moment: 0.0 μB per formula unit
# Fermi-level density of states: 4.3 states/eV/f.u.
# E: -1.371 eV/atom

=====

# SrBe2Ru2, optimized geometry, DFT GGA-PBE
data_SrBe2Ru2
_chemical_formula_sum 'Sr2 Be4 Ru4'
_space_group_name_H-M_alt 'P 1'
_space_group_IT_number 1
_cell_length_a 7.015
_cell_length_b 7.015
_cell_length_c 3.046
_cell_angle_alpha 90.00
_cell_angle_beta 90.00
_cell_angle_gamma 90.00
loop_
_space_group_symop_operation_xyz
'x,y,z'
loop_
_atom_site_label
_atom_site_type_symbol
_atom_site_fract_x
_atom_site_fract_y
_atom_site_fract_z
Be1 Be 0.889 0.611 0.000
Sr1 Sr 0.000 0.000 0.000
Be2 Be 0.111 0.389 0.000
Ru1 Ru 0.854 0.354 0.500
Ru2 Ru 0.646 0.854 0.500
Be3 Be 0.611 0.111 0.000
Ru3 Ru 0.146 0.646 0.500
Ru4 Ru 0.354 0.146 0.500
Sr2 Sr 0.500 0.500 0.000
Be4 Be 0.389 0.889 0.000
# space group: P4/mbm (127)
# DFT formation energy: 262 meV/atom
# size of the total moment: 0.0 μB per formula unit
# energy above the most stable polymorph in this dataset: 0.48 eV per formula unit
# Fermi-level density of states: 5.7 states/eV/f.u.
# E: -5.275 eV/atom